[1]
Mg6Sn3Pt after structural relaxation. Source: Alexandria via LeMat-Bulk, functional PBE-GGA.

abc: 8.682 6.876 6.876
angles: 51.56 54.32 54.32
Sites, in units of the cell vectors:
Sn: 0.000 0.000 0.000
Mg: 0.332 0.668 0.181
Mg: 0.668 0.819 0.332
Sn: 0.712 0.799 0.799
Mg: 0.332 0.181 0.668
Pt: 0.500 0.500 0.500
Sn: 0.288 0.201 0.201
Mg: 0.118 0.726 0.726
Mg: 0.668 0.332 0.819
Mg: 0.882 0.274 0.274

## Properties
size of the total moment	0.00	Bohr magnetons per cell
uncorrected energy	-29.22	eV per cell
energy of formation from the pure elements	-154	kJ/mol of formula units
polymorph energy (0 for the lowest one)	106	meV per atom
space group	C2/m (12)

=====

[2]
Mg3SnPt2 after structural relaxation. Source: Alexandria via LeMat-Bulk, functional PBE-GGA.

abc: 4.155 6.467 8.429
angles: 90.00 90.00 90.00
Sites, in units of the cell vectors:
Sn: 0.500 0.045 0.410
Mg: 0.500 0.651 0.196
Mg: 0.000 0.955 0.071
Pt: 0.500 0.245 0.113
Mg: 0.000 0.455 0.929
Pt: 0.500 0.745 0.887
Mg: 0.500 0.151 0.804
Sn: 0.500 0.545 0.590
Mg: 0.000 0.355 0.297
Pt: 0.000 0.750 0.392
Mg: 0.000 0.855 0.703
Pt: 0.000 0.250 0.608

## Properties
size of the total moment	0.00	Bohr magnetons per cell
uncorrected energy	-49.52	eV per cell
energy of formation from the pure elements	-375	kJ/mol of formula units
space group	Pmc2_1 (26)

=====

[3]
Mg3SnPt4 after structural relaxation. Source: Alexandria via LeMat-Bulk, functional PBE-GGA.

abc: 4.196 4.196 8.065
angles: 105.20 105.08 90.00
Sites, in units of the cell vectors:
Mg: 0.000 0.500 0.000
Pt: 0.626 0.626 0.252
Mg: 0.249 0.749 0.497
Sn: 0.500 0.000 0.000
Pt: 0.126 0.126 0.252
Mg: 0.751 0.251 0.503
Pt: 0.374 0.374 0.748
Pt: 0.874 0.874 0.748

## Properties
size of the total moment	0.00	Bohr magnetons per cell
uncorrected energy	-39.05	eV per cell
energy of formation from the pure elements	-589	kJ/mol of formula units
space group	C2/m (12)